1.
Au after structural relaxation. Source: OQMD via LeMat-Bulk, functional PBE.

## Properties
For the total energy, the calculation gives -3.25 eV for the cell shown. As for the distance to the lowest polymorph of the same formula: 0.012 eV/atom. The value obtained for the energy of formation from the pure elements is 0.01 eV per formula unit.

abc: 2.881 2.881 2.881
angles: 117.57 117.57 94.26
Fractional positions:
Au: 0.000 0.000 0.000

=====

2.
CsHfB4 after structural relaxation. Source: OQMD via LeMat-Bulk, functional PBE.

## Properties
For the total energy, the calculation gives -38.31 eV for the cell shown. As for the distance to the lowest polymorph of the same formula: 0.000 eV/atom.

abc: 3.212 3.212 8.961
angles: 90.00 90.00 120.00
Fractional positions:
Cs: 0.000 0.000 0.000
Hf: 0.000 0.000 0.500
B: 0.333 0.667 0.314
B: 0.333 0.667 0.686
B: 0.667 0.333 0.314
B: 0.667 0.333 0.686

=====

3.
ErTm2In3Cu3 after structural relaxation. Source: OQMD via LeMat-Bulk, functional PBE.

## Properties
For the total energy, the calculation gives -36.58 eV for the cell shown.

abc: 3.813 7.495 7.495
angles: 120.03 90.00 90.00
Fractional positions:
Er: 0.000 0.000 0.000
Tm: 0.000 0.408 0.815
Tm: 0.000 0.815 0.408
In: 0.500 0.149 0.408
In: 0.500 0.408 0.149
In: 0.500 0.666 0.666
Cu: 0.000 0.408 0.408
Cu: 0.500 0.075 0.740
Cu: 0.500 0.740 0.075